## KCrTe3 (SCAN)

Data for a crystal of KCrTe3 relaxed with PBEsol.

Cell: 5.304 5.304 5.304 Å, 90.00 90.00 90.00°
Space group Pm-3m (No. 221)
Unique sites:
1 K 0.000 0.000 0.000
2 Cr 0.500 0.500 0.500
3 Te 0.000 0.500 0.500

* density: 5.3 g/cm3
* energy: -140.13 eV/cell
* uncorrected formation energy: -0.333 eV/atom
* V: 29.85 Å³/atom